--- a ---
DFT (PBE) results for Hg3SbCl after structural relaxation.

Lattice parameters (Å, degrees): 11.200 11.200 11.200 108.75 108.75 108.75
Fractional coordinates of all 30 atoms:
1 Hg 0.067 0.623 0.363
2 Hg 0.080 0.828 0.720
3 Hg 0.172 0.280 0.920
4 Hg 0.246 0.606 0.248
5 Hg 0.248 0.246 0.606
6 Hg 0.280 0.920 0.172
7 Hg 0.363 0.067 0.623
8 Hg 0.377 0.637 0.933
9 Hg 0.394 0.752 0.754
10 Hg 0.606 0.248 0.246
11 Hg 0.623 0.363 0.067
12 Hg 0.637 0.933 0.377
13 Hg 0.720 0.080 0.828
14 Hg 0.752 0.754 0.394
15 Hg 0.754 0.394 0.752
16 Hg 0.828 0.720 0.080
17 Hg 0.920 0.172 0.280
18 Hg 0.933 0.377 0.637
19 Sb 0.127 0.409 0.528
20 Sb 0.409 0.528 0.127
21 Sb 0.472 0.873 0.591
22 Sb 0.528 0.127 0.409
23 Sb 0.591 0.472 0.873
24 Sb 0.873 0.591 0.472
25 Cl 0.048 0.934 0.287
26 Cl 0.066 0.713 0.952
27 Cl 0.287 0.048 0.934
28 Cl 0.713 0.952 0.066
29 Cl 0.934 0.287 0.048
30 Cl 0.952 0.066 0.713

Computed properties:
* V: 1109.4 Å³ per cell
* magnetic moment: 0.00 μB per cell

=====

--- b ---
DFT (PBE) results for Hg3SbCl after structural relaxation.

Lattice parameters (Å, degrees): 5.652 5.652 5.652 90.00 90.00 90.00
Fractional coordinates of all 5 atoms:
1 Hg 0.000 0.000 0.500
2 Hg 0.000 0.500 0.000
3 Hg 0.500 0.000 0.000
4 Sb 0.000 0.000 0.000
5 Cl 0.500 0.500 0.500

Computed properties:
* V: 180.6 Å³ per cell
* magnetic moment: 0.00 μB per cell

=====

--- c ---
DFT (PBE) results for Hg3SbCl after structural relaxation.

Lattice parameters (Å, degrees): 7.704 4.765 8.601 90.00 97.80 90.00
Fractional coordinates of all 10 atoms:
1 Hg 0.023 0.250 0.110
2 Hg 0.241 0.250 0.539
3 Hg 0.452 0.750 0.218
4 Hg 0.548 0.250 0.782
5 Hg 0.759 0.750 0.461
6 Hg 0.977 0.750 0.890
7 Sb 0.112 0.750 0.287
8 Sb 0.888 0.250 0.713
9 Cl 0.371 0.750 0.863
10 Cl 0.629 0.250 0.137

Computed properties:
* V: 312.8 Å³ per cell
* magnetic moment: 0.00 μB per cell

=====

Computed energies relative to the best structure, in meV/atom: a 0; b 66; c 32